# 1
CoIrW4: relaxed, PBE.

Values from the calculation:
SG   No. 216
M_tot   1.2 μB per cell
Energy   -10.720 eV per atom
DOS(E_F)   5.26 states/eV per cell

a b c (Å): 5.168 5.168 5.168
angles (deg): 60.00 60.00 60.00
Atoms (fractional coordinates):
Co1 0.750 0.750 0.750
Ir1 0.000 0.000 0.000
W1 0.872 0.376 0.376
W2 0.376 0.376 0.872
W3 0.376 0.872 0.376
W4 0.376 0.376 0.376


# 2
CoIrW: relaxed, PBE.

Values from the calculation:
SG   No. 216
Energy relative to the lowest polymorph listed for this composition   603.0 meV per atom
M_tot   0.0 μB per cell
Energy   -9.156 eV per atom
DOS(E_F)   3.26 states/eV per cell

a b c (Å): 4.029 4.029 4.029
angles (deg): 60.00 60.00 60.00
Atoms (fractional coordinates):
Co1 0.750 0.750 0.750
Ir1 0.000 0.000 0.000
W1 0.500 0.500 0.500


# 3
CoIrW2: relaxed, PBE.

Values from the calculation:
SG   No. 8
Energy relative to the lowest polymorph listed for this composition   108.0 meV per atom
M_tot   0.0 μB per cell
Energy   -10.482 eV per atom
DOS(E_F)   3.57 states/eV per cell

a b c (Å): 4.668 4.668 4.778
angles (deg): 80.34 80.34 34.38
Atoms (fractional coordinates):
Co1 0.499 0.499 0.522
Ir1 0.247 0.247 0.241
W1 0.997 0.997 0.022
W2 0.757 0.757 0.715


# 4
Co2IrW: relaxed, PBE.

Values from the calculation:
SG   No. 119
M_tot   1.7 μB per cell
Energy   -9.132 eV per atom
DOS(E_F)   3.44 states/eV per cell

a b c (Å): 4.578 4.578 4.578
angles (deg): 132.05 132.06 70.15
Atoms (fractional coordinates):
Ir1 0.500 0.500 0.000
Co1 0.000 0.000 0.000
Co2 0.750 0.250 0.500
W1 0.250 0.750 0.500


# 5
CoIrW: relaxed, PBE.

Values from the calculation:
SG   No. 107
Energy relative to the lowest polymorph listed for this composition   72.4 meV per atom
M_tot   0.0 μB per cell
Energy   -9.687 eV per atom
DOS(E_F)   2.66 states/eV per cell

a b c (Å): 5.877 5.877 2.721
angles (deg): 76.62 76.61 26.77
Atoms (fractional coordinates):
Co1 0.999 0.999 0.001
Ir1 0.662 0.662 0.338
W1 0.339 0.339 0.661


# 6
Co2IrW: relaxed, PBE.

Values from the calculation:
SG   No. 123
M_tot   0.0 μB per cell
Energy   -8.865 eV per atom
DOS(E_F)   4.51 states/eV per cell

a b c (Å): 3.087 3.087 5.451
angles (deg): 90.00 90.00 90.00
Atoms (fractional coordinates):
Co1 0.000 0.000 0.983
Co2 0.000 0.000 0.517
Ir1 0.500 0.500 0.250
W1 0.500 0.500 0.750


# 7
CoIrW2: relaxed, PBE.

Values from the calculation:
SG   No. 122
Energy relative to the lowest polymorph listed for this composition   806.8 meV per atom
M_tot   0.9 μB per cell
Energy   -9.784 eV per atom
DOS(E_F)   9.63 states/eV per cell

a b c (Å): 3.827 3.827 9.098
angles (deg): 77.86 77.86 90.00
Atoms (fractional coordinates):
Ir1 0.000 0.000 0.000
Ir2 0.750 0.250 0.500
Co1 0.500 0.500 0.000
Co2 0.250 0.750 0.500
W1 0.606 0.125 0.250
W2 0.144 0.625 0.250
W3 0.375 0.394 0.750
W4 0.875 0.856 0.750


# 8
ZnCoIrW2: relaxed, PBE.

Values from the calculation:
SG   No. 123
M_tot   0.9 μB per cell
Energy   -6.896 eV per atom
DOS(E_F)   4.10 states/eV per cell

a b c (Å): 4.502 4.124 4.502
angles (deg): 90.00 90.00 90.00
Atoms (fractional coordinates):
Zn1 0.000 0.000 0.000
Ir1 0.500 0.500 0.500
Co1 0.000 0.500 0.000
W1 0.000 0.000 0.500
W2 0.500 0.000 0.000


# 9
ZnCoIrW: relaxed, PBE.

Values from the calculation:
SG   No. 216
M_tot   2.0 μB per cell
Energy   -7.590 eV per atom
DOS(E_F)   1.03 states/eV per cell

a b c (Å): 4.296 4.296 4.296
angles (deg): 60.00 60.00 60.00
Atoms (fractional coordinates):
Zn1 0.750 0.750 0.750
Ir1 0.500 0.500 0.500
Co1 0.000 0.000 0.000
W1 0.250 0.250 0.250


# 10
YCo2Ir: relaxed, PBE.

Values from the calculation:
SG   No. 123
Energy relative to the lowest polymorph listed for this composition   200.0 meV per atom
M_tot   3.1 μB per cell
Energy   -7.401 eV per atom
DOS(E_F)   6.37 states/eV per cell

a b c (Å): 3.989 3.989 3.899
angles (deg): 90.00 90.00 90.00
Atoms (fractional coordinates):
Co1 0.000 0.000 0.000
Co2 0.500 0.500 0.000
Ir1 0.500 0.000 0.500
Y1 0.000 0.500 0.500


# 11
Y2CoIr: relaxed, PBE.

Values from the calculation:
SG   No. 122
M_tot   0.0 μB per cell
Energy   -7.237 eV per atom
DOS(E_F)   3.44 states/eV per cell

a b c (Å): 7.300 7.300 6.008
angles (deg): 52.59 52.59 90.00
Atoms (fractional coordinates):
Y1 0.609 0.125 0.250
Y2 0.141 0.625 0.250
Y3 0.375 0.391 0.750
Y4 0.875 0.859 0.750
Ir1 0.000 0.000 0.000
Ir2 0.750 0.250 0.500
Co1 0.500 0.500 0.000
Co2 0.250 0.750 0.500


# 12
YCo2Ir: relaxed, PBE.

Values from the calculation:
SG   No. 99
Energy relative to the lowest polymorph listed for this composition   209.3 meV per atom
M_tot   3.4 μB per cell
Energy   -7.392 eV per atom
DOS(E_F)   4.15 states/eV per cell

a b c (Å): 3.099 3.099 6.598
angles (deg): 90.00 90.00 90.00
Atoms (fractional coordinates):
Co1 0.000 0.000 0.066
Co2 0.500 0.500 0.226
Ir1 0.000 0.000 0.457
Y1 0.500 0.500 0.751


no.,energy relative to the elements (meV per atom)
1,577
2,484
3,-14
4,-125
5,-47
6,141
7,685
8,1733
9,-41
10,-17
11,-13
12,-8